[1]
Here is a relaxed structure of NdDy4Tm from Alexandria via LeMat-Bulk. Energies are from PBE.

Cell and atoms, written as POSCAR:
```
NdDy4Tm
1.0
5.020 -0.004 0.001
-2.512 5.446 -5.229
0.011 -3.782 10.605
Nd Dy Tm
1 4 1
Direct
0.500 0.000 0.500
0.833 0.665 0.501
0.167 0.335 0.499
0.666 0.332 0.000
0.334 0.668 0.000
0.000 0.000 0.000
```

* total moment: 0.000 μB per atom
* crystal system: triclinic
* mass density: 8.4 g/cm3
* formation enthalpy at 0 K: 0.021 eV per atom



[2]
Here is a relaxed structure of K2NaReCl8 from Alexandria via LeMat-Bulk. Energies are from PBE.

Cell and atoms, written as POSCAR:
```
K2NaReCl8
1.0
7.833 -0.748 0.473
-0.653 5.762 0.385
0.683 0.605 8.552
K Cl Re Na
2 8 1 1
Direct
0.466 0.776 0.305
0.534 0.224 0.695
0.666 0.777 0.587
0.745 0.718 0.000
0.255 0.282 0.000
0.931 0.247 0.791
0.069 0.753 0.209
0.334 0.223 0.413
0.848 0.177 0.186
0.152 0.823 0.814
0.000 0.000 0.000
0.000 0.000 0.500
```

* total moment: 0.167 μB per atom
* crystal system: triclinic
* uncorrected formation energy: -1220 meV per atom
* mass density: 2.5 g/cm3



[3]
Here is a relaxed structure of MnSi2Ru from Alexandria via LeMat-Bulk. Energies are from PBE.

Cell and atoms, written as POSCAR:
```
MnSi2Ru
1.0
4.739 0.008 0.000
2.051 4.272 0.000
-3.395 -2.140 2.520
Mn Ru Si
1 1 2
Direct
0.500 0.500 0.000
0.750 0.250 0.500
0.250 0.750 0.500
0.000 0.000 0.000
```

* total moment: 0.728 μB per atom
* crystal system: tetragonal
* uncorrected formation energy: -261 meV per atom
* mass density: 6.9 g/cm3



[4]
Here is a relaxed structure of BaBe3Pb from Alexandria via LeMat-Bulk. Energies are from PBE.

Cell and atoms, written as POSCAR:
```
BaBe3Pb
1.0
-1.867 0.283 -4.598
3.506 -3.132 -1.616
-2.989 -3.850 0.977
Be Pb Ba
3 1 1
Direct
0.000 0.000 0.500
0.000 0.500 0.000
0.500 0.000 0.000
0.000 0.000 0.000
0.500 0.500 0.500
```

* total moment: 0.000 μB per atom
* crystal system: cubic
* mass density: 5.0 g/cm3
* formation enthalpy at 0 K: 0.944 eV per atom